No. 1
# PBE-GGA Sb2Pt, relaxed
# Magnetic moment: 0.00 μB/f.u.
# Formation energy (no corrections): 0.07 eV/atom
# Total energy: -0.3447 Ry per atom
# Density: 10.8 g/cm³
data_Sb2Pt
_chemical_formula_sum 'Sb4 Pt2'
_space_group_name_H-M_alt 'P 63/m m c'
_space_group_IT_number 194
_space_group_name_Hall '-P 6c 2c'
_cell_length_a 4.8772
_cell_length_b 4.8772
_cell_length_c 6.5183
_cell_angle_alpha 90.00
_cell_angle_beta 90.00
_cell_angle_gamma 120.00
loop_
_atom_site_label
_atom_site_type_symbol
_atom_site_fract_x
_atom_site_fract_y
_atom_site_fract_z
_atom_site_occupancy
Sb1 Sb 0.0000 0.0000 0.0000 1
Sb2 Sb 0.3333 0.6667 0.2500 1
Pt1 Pt 0.3333 0.6667 0.7500 1

No. 2
# PBE-GGA SbPt, relaxed
# Magnetic moment: 0.00 μB/f.u.
# Formation energy (no corrections): -0.32 eV/atom
# Total energy: -0.3967 Ry per atom
# Density: 12.4 g/cm³
data_SbPt
_chemical_formula_sum 'Sb4 Pt4'
_space_group_name_H-M_alt 'F m -3 m'
_space_group_IT_number 225
_space_group_name_Hall '-F 4 2 3'
_cell_length_a 5.542
_cell_length_b 5.542
_cell_length_c 5.542
_cell_angle_alpha 90.00
_cell_angle_beta 90.00
_cell_angle_gamma 90.00
loop_
_atom_site_label
_atom_site_type_symbol
_atom_site_fract_x
_atom_site_fract_y
_atom_site_fract_z
_atom_site_occupancy
Sb1 Sb 0.000 0.000 0.000 1
Pt1 Pt 0.000 0.000 0.500 1

No. 3
# PBE-GGA SbPt2, relaxed
# Magnetic moment: 0.00 μB/f.u.
# Formation energy (no corrections): -0.24 eV/atom
# Total energy: -0.4148 Ry per atom
# Density: 14.9 g/cm³
data_SbPt2
_chemical_formula_sum 'Sb4 Pt8'
_space_group_name_H-M_alt 'C 1 2/m 1'
_space_group_IT_number 12
_cell_length_a 10.663
_cell_length_b 3.737
_cell_length_c 7.439
_cell_angle_alpha 90.00
_cell_angle_beta 129.65
_cell_angle_gamma 90.00
loop_
_space_group_symop_operation_xyz
'x,y,z'
'-x,-y,-z'
'-x,y,-z'
'x,-y,z'
'x+1/2,y+1/2,z'
'-x+1/2,-y+1/2,-z'
'-x+1/2,y+1/2,-z'
'x+1/2,-y+1/2,z'
loop_
_atom_site_label
_atom_site_type_symbol
_atom_site_fract_x
_atom_site_fract_y
_atom_site_fract_z
_atom_site_occupancy
Sb1 Sb 0.071 0.000 0.316 1
Pt1 Pt 0.132 0.500 0.990 1
Pt2 Pt 0.171 0.500 0.658 1

No. 4
# PBE-GGA Sb2Pt, relaxed
# Magnetic moment: 0.00 μB/f.u.
# Formation energy (no corrections): -0.31 eV/atom
# Total energy: -0.3726 Ry per atom
# Density: 9.4 g/cm³
data_Sb2Pt
_chemical_formula_sum 'Sb8 Pt4'
_space_group_name_H-M_alt 'C m c e'
_space_group_IT_number 64
_space_group_name_Hall '-C 2ac 2'
_cell_length_a 3.991
_cell_length_b 7.631
_cell_length_c 10.160
_cell_angle_alpha 90.00
_cell_angle_beta 90.00
_cell_angle_gamma 90.00
loop_
_atom_site_label
_atom_site_type_symbol
_atom_site_fract_x
_atom_site_fract_y
_atom_site_fract_z
_atom_site_occupancy
Sb1 Sb 0.000 0.183 0.121 1
Pt1 Pt 0.000 0.000 0.500 1

No. 5
# PBE-GGA ScSb2Pt, relaxed
# Magnetic moment: 0.00 μB/f.u.
# Formation energy (no corrections): -0.39 eV/atom
# Distance to the lowest polymorph of the same formula: 17.2 kJ/mol of atoms
# Total energy: -0.4071 Ry per atom
# Density: 9.1 g/cm³
data_ScSb2Pt
_chemical_formula_sum 'Sc2 Sb4 Pt2'
_space_group_name_H-M_alt 'C m m m'
_space_group_IT_number 65
_space_group_name_Hall '-C 2 2'
_cell_length_a 4.361
_cell_length_b 5.753
_cell_length_c 7.029
_cell_angle_alpha 90.00
_cell_angle_beta 90.00
_cell_angle_gamma 90.00
loop_
_atom_site_label
_atom_site_type_symbol
_atom_site_fract_x
_atom_site_fract_y
_atom_site_fract_z
_atom_site_occupancy
Sc1 Sc 0.000 0.000 0.000 1
Sb1 Sb 0.000 0.500 0.270 1
Pt1 Pt 0.000 0.000 0.500 1

No. 6
# PBE-GGA ScSb4Pt, relaxed
# Magnetic moment: 0.00 μB/f.u.
# Formation energy (no corrections): 0.33 eV/atom
# Total energy: -0.3294 Ry per atom
# Density: 7.8 g/cm³
data_ScSb4Pt
_chemical_formula_sum 'Sc4 Sb16 Pt4'
_space_group_name_H-M_alt 'F -4 3 m'
_space_group_IT_number 216
_space_group_name_Hall 'F -4 2 3'
_cell_length_a 8.533
_cell_length_b 8.533
_cell_length_c 8.533
_cell_angle_alpha 90.00
_cell_angle_beta 90.00
_cell_angle_gamma 90.00
loop_
_atom_site_label
_atom_site_type_symbol
_atom_site_fract_x
_atom_site_fract_y
_atom_site_fract_z
_atom_site_occupancy
Sc1 Sc 0.000 0.000 0.000 1
Sb1 Sb 0.124 0.124 0.376 1
Pt1 Pt 0.250 0.250 0.750 1

No. 7
# PBE-GGA ScSb3Pt, relaxed
# Magnetic moment: 0.00 μB/f.u.
# Formation energy (no corrections): 0.21 eV/atom
# Distance to the lowest polymorph of the same formula: 0.0 kJ/mol of atoms
# Total energy: -0.3480 Ry per atom
# Density: 6.9 g/cm³
data_ScSb3Pt
_chemical_formula_sum 'Sc1 Sb3 Pt1'
_space_group_name_H-M_alt 'P m -3 m'
_space_group_IT_number 221
_space_group_name_Hall '-P 4 2 3'
_cell_length_a 5.256
_cell_length_b 5.256
_cell_length_c 5.256
_cell_angle_alpha 90.00
_cell_angle_beta 90.00
_cell_angle_gamma 90.00
loop_
_atom_site_label
_atom_site_type_symbol
_atom_site_fract_x
_atom_site_fract_y
_atom_site_fract_z
_atom_site_occupancy
Sc1 Sc 0.000 0.000 0.000 1
Sb1 Sb 0.000 0.500 0.500 1
Pt1 Pt 0.500 0.500 0.500 1

No. 8
# PBE-GGA ScSbPt2, relaxed
# Magnetic moment: 0.00 μB/f.u.
# Formation energy (no corrections): -0.54 eV/atom
# Total energy: -0.4539 Ry per atom
# Density: 11.5 g/cm³
data_ScSbPt2
_chemical_formula_sum 'Sc4 Sb4 Pt8'
_space_group_name_H-M_alt 'I -4 2 d'
_space_group_IT_number 122
_space_group_name_Hall 'I -4 2bw'
_cell_length_a 4.212
_cell_length_b 4.212
_cell_length_c 18.143
_cell_angle_alpha 90.00
_cell_angle_beta 90.00
_cell_angle_gamma 90.00
loop_
_atom_site_label
_atom_site_type_symbol
_atom_site_fract_x
_atom_site_fract_y
_atom_site_fract_z
_atom_site_occupancy
Sc1 Sc 0.000 0.000 0.000 1
Sb1 Sb 0.000 0.000 0.500 1
Pt1 Pt 0.248 0.250 0.625 1

- Among the records above, which one has the lowest total energy?
  ScSbPt2